Y2PaF PBE optimized geometry; formation energy (no corrections) = -76.05 kJ per mole of atoms; SG = R-3m (166); Fermi-level density of states = 3.75 states/eV/cell; density = 7.73 g/cm3
1.0
3.223 0.000 0.000
1.612 2.791 0.000
1.612 0.930 10.212
Y Pa F
2 1 1
Direct
0.105 0.105 0.684
0.895 0.895 0.316
0.000 0.000 0.000
0.500 0.500 0.500


PaZnF4 PBE optimized geometry; formation energy (no corrections) = -254.42 kJ per mole of atoms; SG = I-4 (82); Fermi-level density of states = 6.26 states/eV/cell; density = 4.36 g/cm3
1.0
5.753 0.000 0.000
0.000 5.753 0.000
-2.877 -2.877 4.281
Pa Zn F
1 1 4
Direct
0.750 0.250 0.500
0.500 0.500 0.000
0.349 0.990 0.270
0.921 0.280 0.270
0.010 0.079 0.730
0.720 0.651 0.730


PaZn2F11 PBE optimized geometry; formation energy (no corrections) = -249.34 kJ per mole of atoms; SG = Ibam (72); Fermi-level density of states = 0.00 states/eV/cell; density = 4.44 g/cm3
1.0
6.925 0.000 3.609
3.219 7.379 2.272
0.044 -0.172 8.363
Pa Zn F
2 4 22
Direct
0.750 0.750 0.750
0.250 0.250 0.250
0.734 0.738 0.262
0.266 0.262 0.738
0.766 0.238 0.762
0.234 0.762 0.238
0.688 0.739 0.520
0.312 0.261 0.480
0.053 0.520 0.739
0.812 0.980 0.761
0.947 0.480 0.261
0.188 0.020 0.239
0.447 0.761 0.980
0.553 0.239 0.020
0.500 0.500 0.500
0.000 0.000 0.000
0.977 0.833 0.167
0.023 0.167 0.833
0.523 0.333 0.667
0.477 0.667 0.333
0.511 0.992 0.274
0.489 0.008 0.726
0.222 0.274 0.992
0.989 0.226 0.508
0.778 0.726 0.008
0.011 0.774 0.492
0.278 0.508 0.226
0.722 0.492 0.774


Pb5F8 PBE optimized geometry; formation energy (no corrections) = -200.67 kJ per mole of atoms; SG = Cm (8); Fermi-level density of states = 1.31 states/eV/cell; density = 7.25 g/cm3
1.0
11.420 -2.100 -1.555
11.637 0.800 1.089
3.386 -8.278 8.801
Pb F
10 16
Direct
0.996 0.996 0.986
0.386 0.386 0.786
0.801 0.801 0.564
0.415 0.415 0.288
0.200 0.200 0.378
0.601 0.601 0.193
0.602 0.602 0.714
0.799 0.799 0.030
0.216 0.216 0.870
0.996 0.996 0.520
0.885 0.885 0.664
0.910 0.910 0.164
0.698 0.698 0.259
0.904 0.904 0.421
0.306 0.306 0.431
0.507 0.507 0.859
0.907 0.907 0.919
0.691 0.691 0.011
0.706 0.706 0.751
0.056 0.056 0.652
0.299 0.299 0.689
0.107 0.107 0.845
0.505 0.505 0.339
0.690 0.690 0.513
0.099 0.099 0.401
0.517 0.517 0.101